The following is a PBE calculation of a relaxed structure of NbH3Pb, from Alexandria via LeMat-Bulk.

Cell: 4.0224 4.0224 4.0224 Å, 90.00 90.00 90.00°
With the nearest neighbours (Å) after each atom.
Space group Pm-3m (No. 221)
Unique sites:
Nb1 0.0000 0.0000 0.0000 [1 per cell]  12 H 2.84
H1 0.0000 0.5000 0.5000 [3 per cell]  2 Pb 2.01
Pb1 0.5000 0.5000 0.5000 [1 per cell]  6 H 2.01

Results
Volume ... 13.02 Å³/atom
Energy relative to the lowest polymorph listed for this composition ... 1056.7 meV per atom
Total energy ... -3.49 eV per atom